Here is Ta2FeMo after structural relaxation from Alexandria via LeMat-Bulk. Energies are from GGA-PBE.

Output
The calculation puts the energy of formation at 40 meV per atom. For the density, the calculation gives 13.39 g cm⁻³. As for the energy relative to the lowest polymorph listed for this composition: 83 kJ/mol of formula units. The total energy is -42.84 eV per cell.

Geometry as CIF:
```
data_Ta2FeMo
_cell_length_a 2.793
_cell_length_b 4.487
_cell_length_c 5.172
_cell_angle_alpha 90.00
_cell_angle_beta 100.64
_cell_angle_gamma 90.00
_space_group_name_H-M_alt 'P 1 m 1'
_space_group_IT_number 6
_space_group_name_Hall 'P -2y'
loop_
_atom_site_label
_atom_site_type_symbol
_atom_site_fract_x
_atom_site_fract_y
_atom_site_fract_z
_atom_site_occupancy
Ta1 Ta 0.000 0.000 0.000 1
Ta2 Ta 0.276 0.500 0.731 1
Fe1 Fe 0.761 0.500 0.233 1
Mo1 Mo 0.519 0.000 0.494 1
```